[1]
DFT (GGA-PBE) results for an optimized crystal structure of Tc2PbAu.

Results
DFT total energy   -24.74 eV/cell

Structure (POSCAR):
```
Tc2PbAu
1.0
0.000 3.286 3.286
3.286 0.000 3.286
3.286 3.286 0.000
Tc Pb Au
2 1 1
Direct
0.000 0.000 0.000
0.250 0.250 0.250
0.500 0.500 0.500
0.750 0.750 0.750
```

***

[2]
DFT (GGA-PBE) results for an optimized crystal structure of PaBeSn.

Results
DFT total energy   -16.83 eV/cell

Structure (POSCAR):
```
PaBeSn
1.0
0.000 3.181 3.181
3.181 0.000 3.181
3.181 3.181 0.000
Pa Be Sn
1 1 1
Direct
0.000 0.000 0.000
0.250 0.250 0.250
0.500 0.500 0.500
```

***

[3]
DFT (GGA-PBE) results for an optimized crystal structure of NaFeBW.

Results
DFT total energy   -25.21 eV/cell

Structure (POSCAR):
```
NaFeBW
1.0
0.000 2.870 2.870
2.870 0.000 2.870
2.870 2.870 0.000
Na Fe B W
1 1 1 1
Direct
0.000 0.000 0.000
0.500 0.500 0.500
0.250 0.250 0.250
0.750 0.750 0.750
```

***

[4]
DFT (GGA-PBE) results for an optimized crystal structure of LaYNi4.

Results
E_form   -0.0272 eV/atom

Structure (POSCAR):
```
LaYNi4
1.0
5.459 0.000 0.000
-2.730 4.728 0.000
0.000 0.000 8.089
La Y Ni
2 2 8
Direct
0.000 0.000 0.000
0.000 0.000 0.500
0.333 0.667 0.000
0.667 0.333 0.000
0.000 0.500 0.276
0.000 0.500 0.724
0.333 0.667 0.500
0.500 0.000 0.276
0.500 0.000 0.724
0.500 0.500 0.276
0.500 0.500 0.724
0.667 0.333 0.500
```

***

| no. | magnetization (Bohr magnetons per cell) |
| --- | --- |
| 1 | 0.2 |
| 2 | 0.5 |
| 3 | 0.0 |
| 4 | 0.1 |